VASP calculation (PBE) on a geometry-optimized NdSm6Y3 structure.

Lattice parameters (Å, degrees): 11.7528 11.7528 6.4617 90.00 90.00 130.56
Positions (direct):
Nd 0.1599 0.8401 0.5000
Nd 0.8401 0.1599 0.0000
Sm 0.0156 0.9844 0.6994
Sm 0.1067 0.5439 0.1791
Sm 0.2609 0.3792 0.9351
Sm 0.3005 0.6995 0.7139
Sm 0.3792 0.2609 0.4351
Sm 0.4561 0.8933 0.1791
Sm 0.5439 0.1067 0.6791
Sm 0.6208 0.7391 0.9351
Sm 0.6995 0.3005 0.2139
Sm 0.7391 0.6208 0.4351
Sm 0.8933 0.4561 0.6791
Sm 0.9844 0.0156 0.1994
Y 0.0424 0.2956 0.5222
Y 0.2956 0.0424 0.0222
Y 0.4191 0.5809 0.4131
Y 0.5809 0.4191 0.9131
Y 0.7044 0.9576 0.5222
Y 0.9576 0.7044 0.0222

## Properties
Size of the total moment: 0.00 μB/atom
Energy of formation from the pure elements: 1.257 eV/f.u.
D(E_F): 1.567 states/eV per atom
Calculated volume: 33.91 Å³ per atom
Energy relative to the lowest polymorph listed for this composition: 0 meV/atom



VASP calculation (PBE) on a geometry-optimized Nd2SmY structure.

Lattice parameters (Å, degrees): 5.1532 5.1532 5.1352 90.00 90.00 90.00
Positions (direct):
Nd 0.0000 0.5000 0.0000
Nd 0.5000 0.0000 0.0000
Sm 0.0000 0.0000 0.5000
Y 0.5000 0.5000 0.5000

## Properties
Size of the total moment: 0.00 μB/atom
Energy of formation from the pure elements: 0.060 eV/f.u.
D(E_F): 1.631 states/eV per atom
Calculated volume: 34.09 Å³ per atom
Energy relative to the lowest polymorph listed for this composition: 5 meV/atom



VASP calculation (PBE) on a geometry-optimized Nd6Sm3Y structure.

Lattice parameters (Å, degrees): 6.7623 6.7623 8.8936 100.96 100.96 64.03
Positions (direct):
Nd 0.0182 0.4688 0.1903
Nd 0.1602 0.1602 0.4934
Nd 0.4688 0.0182 0.1903
Nd 0.5312 0.9818 0.8097
Nd 0.8398 0.8398 0.5066
Nd 0.9818 0.5312 0.8097
Sm 0.0410 0.0410 0.8436
Sm 0.5000 0.5000 0.0000
Sm 0.9590 0.9590 0.1564
Y 0.5000 0.5000 0.5000

## Properties
Size of the total moment: 0.00 μB/atom
Energy of formation from the pure elements: 2.571 eV/f.u.
D(E_F): 1.602 states/eV per atom
Calculated volume: 35.63 Å³ per atom
Energy relative to the lowest polymorph listed for this composition: 120 meV/atom



VASP calculation (PBE) on a geometry-optimized Nd2Sm2Y7 structure.

Lattice parameters (Å, degrees): 6.6804 6.6804 8.5299 98.35 98.35 88.91
Positions (direct):
Nd 0.1078 0.1078 0.3601
Nd 0.8922 0.8922 0.6399
Sm 0.3207 0.6793 0.0000
Sm 0.6793 0.3207 0.0000
Y 0.0026 0.5997 0.3113
Y 0.1877 0.1877 0.0179
Y 0.4003 0.9974 0.6887
Y 0.5000 0.5000 0.5000
Y 0.5997 0.0026 0.3113
Y 0.8123 0.8123 0.9821
Y 0.9974 0.4003 0.6887

## Properties
Size of the total moment: 0.00 μB/atom
Energy of formation from the pure elements: 1.981 eV/f.u.
D(E_F): 1.491 states/eV per atom
Calculated volume: 33.88 Å³ per atom
Energy relative to the lowest polymorph listed for this composition: 58 meV/atom



Question: What is the formula in the third record?
Answer: Nd6Sm3Y